NaCdRh4 PBE-GGA relaxed; total DFT energy (no corrections) = -5.148 eV per atom; V = 101.5 Å³/cell; Fermi-level density of states = 1.420 states/eV/atom
1.0
-2.472 4.216 1.879
-5.232 0.211 -0.061
-2.686 -0.322 4.483
Rh Na Cd
4 1 1
Direct
0.625 0.625 0.625
0.625 0.625 0.125
0.625 0.125 0.625
0.125 0.625 0.625
0.250 0.250 0.250
0.000 0.000 0.000